Arrangement i

Computed, not measured: FeSi16Ge14P after structural relaxation at the PBE level of DFT.

Structure (CIF):
```
data_FeSi16Ge14P
_chemical_formula_sum 'Fe1 Si16 Ge14 P1'
_cell_length_a 5.563
_cell_length_b 3.915
_cell_length_c 31.417
_cell_angle_alpha 90.00
_cell_angle_beta 90.60
_cell_angle_gamma 90.00
_symmetry_space_group_name_H-M 'P 1 m 1'
_symmetry_Int_Tables_number 6
_symmetry_space_group_name_Hall 'P -2y'
loop_
_atom_site_label
_atom_site_fract_x
_atom_site_fract_y
_atom_site_fract_z
Fe1 0.000 0.000 0.000
Si1 0.001 0.000 0.252
Si2 0.001 0.000 0.504
Si3 0.007 0.000 0.754
Si4 0.210 0.000 0.062
Si5 0.247 0.000 0.191
Si6 0.247 0.000 0.817
Si7 0.249 0.000 0.444
Si8 0.249 0.000 0.692
Si9 0.488 0.500 0.191
Si10 0.489 0.500 0.442
Si11 0.492 0.500 0.691
Si12 0.500 0.500 0.946
Si13 0.728 0.500 0.130
Si14 0.737 0.500 0.382
Si15 0.749 0.500 0.632
Si16 0.990 0.000 0.632
Ge1 0.012 0.000 0.881
Ge2 0.237 0.000 0.569
Ge3 0.238 0.000 0.317
Ge4 0.467 0.500 0.068
Ge5 0.497 0.500 0.817
Ge6 0.501 0.500 0.318
Ge7 0.501 0.500 0.569
Ge8 0.744 0.500 0.883
Ge9 0.750 0.500 0.253
Ge10 0.750 0.500 0.504
Ge11 0.754 0.500 0.753
Ge12 0.769 0.500 0.010
Ge13 0.983 0.000 0.129
Ge14 0.989 0.000 0.382
P1 0.255 0.000 0.946
```

Summary:
As for the density: 3.769 g/cm³.

Arrangement ii

Computed, not measured: FeSi16Ge14P after structural relaxation at the PBE level of DFT.

Structure (CIF):
```
data_FeSi16Ge14P
_chemical_formula_sum 'Fe1 Si16 Ge14 P1'
_cell_length_a 5.536
_cell_length_b 3.958
_cell_length_c 31.317
_cell_angle_alpha 90.00
_cell_angle_beta 90.04
_cell_angle_gamma 90.00
_symmetry_space_group_name_H-M 'P 1 m 1'
_symmetry_Int_Tables_number 6
_symmetry_space_group_name_Hall 'P -2y'
loop_
_atom_site_label
_atom_site_fract_x
_atom_site_fract_y
_atom_site_fract_z
Fe1 0.000 0.000 0.000
Si1 0.007 0.000 0.627
Si2 0.247 0.500 0.627
Si3 0.252 0.500 0.125
Si4 0.256 0.500 0.377
Si5 0.502 0.500 0.186
Si6 0.504 0.500 0.438
Si7 0.504 0.500 0.687
Si8 0.506 0.500 0.940
Si9 0.741 0.000 0.187
Si10 0.741 0.000 0.440
Si11 0.745 0.000 0.687
Si12 0.749 0.000 0.944
Si13 0.754 0.000 0.812
Si14 0.759 0.000 0.057
Si15 0.991 0.000 0.749
Si16 0.992 0.000 0.248
Ge1 0.006 0.000 0.378
Ge2 0.219 0.500 0.999
Ge3 0.230 0.500 0.498
Ge4 0.241 0.500 0.248
Ge5 0.242 0.500 0.748
Ge6 0.254 0.500 0.877
Ge7 0.487 0.500 0.563
Ge8 0.492 0.500 0.313
Ge9 0.503 0.500 0.062
Ge10 0.505 0.500 0.812
Ge11 0.753 0.000 0.312
Ge12 0.753 0.000 0.563
Ge13 0.988 0.000 0.877
Ge14 0.999 0.000 0.124
P1 0.989 0.000 0.499
```

Summary:
As for the density: 3.759 g/cm³.

Which structure is the most stable? The one labeled arrangement i.

Arrangement i

Computed, not measured: Pr2FeGe4Pd after structural relaxation at the PBE level of DFT.

Structure (CIF):
```
data_Pr2FeGe4Pd
_chemical_formula_sum 'Pr4 Fe2 Ge8 Pd2'
_cell_length_a 4.376
_cell_length_b 4.334
_cell_length_c 16.962
_cell_angle_alpha 90.00
_cell_angle_beta 90.00
_cell_angle_gamma 90.00
_symmetry_space_group_name_H-M 'A m m 2'
_symmetry_Int_Tables_number 38
_symmetry_space_group_name_Hall 'A 2 -2'
loop_
_atom_site_label
_atom_site_fract_x
_atom_site_fract_y
_atom_site_fract_z
Pr1 0.000 0.000 0.000
Pr2 0.500 0.000 0.212
Fe1 0.000 0.000 0.791
Ge1 0.000 0.000 0.350
Ge2 0.000 0.000 0.654
Ge3 0.500 0.000 0.572
Ge4 0.500 0.000 0.847
Pd1 0.500 0.000 0.427
```

Summary:
As for the density: 7.584 g/cm³.

Arrangement ii

Computed, not measured: Pr2FeGe4Pd after structural relaxation at the PBE level of DFT.

Structure (CIF):
```
data_Pr2FeGe4Pd
_chemical_formula_sum 'Pr2 Fe1 Ge4 Pd1'
_cell_length_a 4.440
_cell_length_b 4.338
_cell_length_c 8.635
_cell_angle_alpha 90.00
_cell_angle_beta 103.86
_cell_angle_gamma 90.00
_symmetry_space_group_name_H-M 'P 1 m 1'
_symmetry_Int_Tables_number 6
_symmetry_space_group_name_Hall 'P -2y'
loop_
_atom_site_label
_atom_site_fract_x
_atom_site_fract_y
_atom_site_fract_z
Pr1 0.000 0.000 0.000
Pr2 0.215 0.500 0.417
Fe1 0.472 0.500 0.830
Ge1 0.339 0.000 0.720
Ge2 0.552 0.500 0.109
Ge3 0.658 0.000 0.284
Ge4 0.922 0.500 0.729
Pd1 0.763 0.000 0.576
```

Summary:
As for the density: 7.554 g/cm³.

Which structure is the most stable? The one labeled arrangement i.

Arrangement i

Computed, not measured: ScFeGePd after structural relaxation at the PBE level of DFT.

Structure (CIF):
```
data_ScFeGePd
_chemical_formula_sum 'Sc4 Fe4 Ge4 Pd4'
_cell_length_a 6.341
_cell_length_b 6.341
_cell_length_c 6.341
_cell_angle_alpha 90.00
_cell_angle_beta 90.00
_cell_angle_gamma 90.00
_symmetry_space_group_name_H-M 'F -4 3 m'
_symmetry_Int_Tables_number 216
_symmetry_space_group_name_Hall 'F -4 2 3'
loop_
_atom_site_label
_atom_site_fract_x
_atom_site_fract_y
_atom_site_fract_z
Sc1 0.000 0.000 0.000
Fe1 0.000 0.000 0.500
Ge1 0.250 0.250 0.250
Pd1 0.250 0.250 0.750
```

Summary:
As for the density: 7.292 g/cm³.

Arrangement ii

Computed, not measured: ScFeGePd after structural relaxation at the PBE level of DFT.

Structure (CIF):
```
data_ScFeGePd
_chemical_formula_sum 'Sc4 Fe4 Ge4 Pd4'
_cell_length_a 6.201
_cell_length_b 6.201
_cell_length_c 6.201
_cell_angle_alpha 90.00
_cell_angle_beta 90.00
_cell_angle_gamma 90.00
_symmetry_space_group_name_H-M 'F -4 3 m'
_symmetry_Int_Tables_number 216
_symmetry_space_group_name_Hall 'F -4 2 3'
loop_
_atom_site_label
_atom_site_fract_x
_atom_site_fract_y
_atom_site_fract_z
Sc1 0.000 0.000 0.000
Fe1 0.250 0.250 0.750
Ge1 0.000 0.000 0.500
Pd1 0.250 0.250 0.250
```

Summary:
As for the density: 7.797 g/cm³.

Which structure is the most stable? The one labeled arrangement ii.

Arrangement i

Computed, not measured: YFeGePd after structural relaxation at the PBE level of DFT.

Structure (CIF):
```
data_YFeGePd
_chemical_formula_sum 'Y4 Fe4 Ge4 Pd4'
_cell_length_a 6.488
_cell_length_b 6.488
_cell_length_c 6.488
_cell_angle_alpha 90.00
_cell_angle_beta 90.00
_cell_angle_gamma 90.00
_symmetry_space_group_name_H-M 'F -4 3 m'
_symmetry_Int_Tables_number 216
_symmetry_space_group_name_Hall 'F -4 2 3'
loop_
_atom_site_label
_atom_site_fract_x
_atom_site_fract_y
_atom_site_fract_z
Y1 0.000 0.000 0.000
Fe1 0.250 0.250 0.750
Ge1 0.000 0.000 0.500
Pd1 0.250 0.250 0.250
```

Summary:
As for the density: 7.877 g/cm³.

Arrangement ii

Computed, not measured: YFeGePd after structural relaxation at the PBE level of DFT.

Structure (CIF):
```
data_YFeGePd
_chemical_formula_sum 'Y4 Fe4 Ge4 Pd4'
_cell_length_a 6.617
_cell_length_b 6.617
_cell_length_c 6.617
_cell_angle_alpha 90.00
_cell_angle_beta 90.00
_cell_angle_gamma 90.00
_symmetry_space_group_name_H-M 'F -4 3 m'
_symmetry_Int_Tables_number 216
_symmetry_space_group_name_Hall 'F -4 2 3'
loop_
_atom_site_label
_atom_site_fract_x
_atom_site_fract_y
_atom_site_fract_z
Y1 0.000 0.000 0.000
Fe1 0.000 0.000 0.500
Ge1 0.250 0.250 0.250
Pd1 0.250 0.250 0.750
```

Summary:
As for the density: 7.423 g/cm³.

Which structure is the most stable? The one labeled arrangement i.

Arrangement i

Computed, not measured: ZrFeGePd after structural relaxation at the PBE level of DFT.

Structure (CIF):
```
data_ZrFeGePd
_chemical_formula_sum 'Zr4 Fe4 Ge4 Pd4'
_cell_length_a 6.316
_cell_length_b 6.316
_cell_length_c 6.316
_cell_angle_alpha 90.00
_cell_angle_beta 90.00
_cell_angle_gamma 90.00
_symmetry_space_group_name_H-M 'F -4 3 m'
_symmetry_Int_Tables_number 216
_symmetry_space_group_name_Hall 'F -4 2 3'
loop_
_atom_site_label
_atom_site_fract_x
_atom_site_fract_y
_atom_site_fract_z
Zr1 0.000 0.000 0.000
Fe1 0.250 0.250 0.750
Ge1 0.000 0.000 0.500
Pd1 0.250 0.250 0.250
```

Summary:
As for the density: 8.596 g/cm³.

Arrangement ii

Computed, not measured: ZrFeGePd after structural relaxation at the PBE level of DFT.

Structure (CIF):
```
data_ZrFeGePd
_chemical_formula_sum 'Zr4 Fe4 Ge4 Pd4'
_cell_length_a 6.405
_cell_length_b 6.405
_cell_length_c 6.405
_cell_angle_alpha 90.00
_cell_angle_beta 90.00
_cell_angle_gamma 90.00
_symmetry_space_group_name_H-M 'F -4 3 m'
_symmetry_Int_Tables_number 216
_symmetry_space_group_name_Hall 'F -4 2 3'
loop_
_atom_site_label
_atom_site_fract_x
_atom_site_fract_y
_atom_site_fract_z
Zr1 0.000 0.000 0.000
Fe1 0.000 0.000 0.500
Ge1 0.250 0.250 0.250
Pd1 0.250 0.250 0.750
```

Summary:
As for the density: 8.244 g/cm³.

Which structure is the most stable? The one labeled arrangement i.

Arrangement i

Computed, not measured: PrYFe2Ge4 after structural relaxation at the PBE level of DFT.

Structure (CIF):
```
data_PrYFe2Ge4
_chemical_formula_sum 'Pr1 Y1 Fe2 Ge4'
_cell_length_a 4.392
_cell_length_b 4.236
_cell_length_c 8.208
_cell_angle_alpha 90.00
_cell_angle_beta 104.18
_cell_angle_gamma 90.00
_symmetry_space_group_name_H-M 'P 1 m 1'
_symmetry_Int_Tables_number 6
_symmetry_space_group_name_Hall 'P -2y'
loop_
_atom_site_label
_atom_site_fract_x
_atom_site_fract_y
_atom_site_fract_z
Pr1 0.000 0.000 0.000
Y1 0.774 0.500 0.582
Fe1 0.273 0.000 0.405
Fe2 0.513 0.500 0.186
Ge1 0.078 0.500 0.295
Ge2 0.336 0.000 0.691
Ge3 0.443 0.500 0.893
Ge4 0.707 0.000 0.299
```

Summary:
As for the density: 7.089 g/cm³.

Arrangement ii

Computed, not measured: PrYFe2Ge4 after structural relaxation at the PBE level of DFT.

Structure (CIF):
```
data_PrYFe2Ge4
_chemical_formula_sum 'Pr2 Y2 Fe4 Ge8'
_cell_length_a 4.257
_cell_length_b 4.265
_cell_length_c 16.560
_cell_angle_alpha 90.00
_cell_angle_beta 90.00
_cell_angle_gamma 90.00
_symmetry_space_group_name_H-M 'A m m 2'
_symmetry_Int_Tables_number 38
_symmetry_space_group_name_Hall 'A 2 -2'
loop_
_atom_site_label
_atom_site_fract_x
_atom_site_fract_y
_atom_site_fract_z
Pr1 0.000 0.000 0.000
Y1 0.500 0.000 0.784
Fe1 0.000 0.000 0.209
Fe2 0.500 0.000 0.578
Ge1 0.000 0.000 0.347
Ge2 0.000 0.000 0.645
Ge3 0.500 0.000 0.145
Ge4 0.500 0.000 0.438
```

Summary:
As for the density: 6.982 g/cm³.

Which structure is the most stable? The one labeled arrangement i.